Entry 1:
! BeNbFePb | OQMD | PBE | relaxed; values from VASP
! - SG: No. 216
! - E: -96.15 eV per cell
! - Total moment: 0.94 μB/f.u.
! - Crystal system: cubic
! - Mass density: 9.99 g cm⁻³
! - Volume: 242.6 Å³/cell
&SYSTEM
  ibrav = 0, nat = 16, ntyp = 4
/
ATOMIC_SPECIES
Be 9.01 Be.upf
Nb 92.91 Nb.upf
Fe 55.84 Fe.upf
Pb 207.20 Pb.upf
CELL_PARAMETERS angstrom
6.236 0.000 0.000
0.000 6.236 0.000
0.000 0.000 6.236
ATOMIC_POSITIONS crystal
Be 0.000 0.000 0.000
Be 0.000 0.500 0.500
Be 0.500 0.000 0.500
Be 0.500 0.500 0.000
Nb 0.250 0.250 0.750
Nb 0.250 0.750 0.250
Nb 0.750 0.250 0.250
Nb 0.750 0.750 0.750
Fe 0.000 0.000 0.500
Fe 0.000 0.500 0.000
Fe 0.500 0.000 0.000
Fe 0.500 0.500 0.500
Pb 0.250 0.250 0.250
Pb 0.250 0.750 0.750
Pb 0.750 0.250 0.750
Pb 0.750 0.750 0.250

Entry 2:
! Ni3Br | OQMD | PBE | relaxed; values from VASP
! - SG: No. 194
! - E: -32.46 eV per cell
! - Total moment: 1.79 μB/f.u.
! - Crystal system: hexagonal
! - Mass density: 7.46 g cm⁻³
! - Volume: 113.9 Å³/cell
&SYSTEM
  ibrav = 0, nat = 8, ntyp = 2
/
ATOMIC_SPECIES
Ni 58.69 Ni.upf
Br 79.90 Br.upf
CELL_PARAMETERS angstrom
5.885 0.000 0.000
-2.942 5.096 0.000
0.000 0.000 3.799
ATOMIC_POSITIONS crystal
Ni 0.145 0.290 0.250
Ni 0.145 0.855 0.250
Ni 0.290 0.145 0.750
Ni 0.710 0.855 0.250
Ni 0.855 0.145 0.750
Ni 0.855 0.710 0.750
Br 0.333 0.667 0.750
Br 0.667 0.333 0.250

Entry 3:
! HoLuAsO | OQMD | PBE | relaxed; values from VASP
! - SG: No. 26
! - E: -53.00 eV per cell
! - Total moment: 0.04 μB/f.u.
! - Crystal system: orthorhombic
! - Mass density: 8.10 g cm⁻³
! - Volume: 176.7 Å³/cell
&SYSTEM
  ibrav = 0, nat = 8, ntyp = 4
/
ATOMIC_SPECIES
Ho 164.93 Ho.upf
Lu 174.97 Lu.upf
As 74.92 As.upf
O 16.00 O.upf
CELL_PARAMETERS angstrom
4.059 0.000 0.000
0.000 7.607 0.000
0.000 0.000 5.723
ATOMIC_POSITIONS crystal
Ho 0.000 0.118 0.000
Ho 0.000 0.882 0.500
Lu 0.500 0.283 0.439
Lu 0.500 0.717 0.939
As 0.500 0.352 0.928
As 0.500 0.648 0.428
O 0.000 0.175 0.384
O 0.000 0.825 0.884